Entry 1:
# SmY2TcO8

An optimized crystal structure of SmY2TcO8 (PBE, Alexandria).

Calculated values
Uncorrected formation energy = -2595 meV/atom
E_tot = -0.6053 Ry/atom
Space group = Cmmm
M_tot = 0.000 μB per formula unit

a = 5.079 Å, b = 5.075 Å, c = 6.815 Å
α = 90.00°, β = 90.00°, γ = 90.19°
Fractional positions:
O  0.182  0.817  0.204
O  0.312  0.312  0.500
O  0.733  0.734  0.000
O  0.688  0.688  0.500
O  0.818  0.183  0.796
O  0.818  0.183  0.204
O  0.182  0.817  0.796
O  0.267  0.266  0.000
Y  0.500  0.500  0.250
Y  0.500  0.500  0.750
Sm  0.000  0.000  0.500
Tc  0.000  0.000  0.000

=====

Entry 2:
# SmZnTc2O8

An optimized crystal structure of SmZnTc2O8 (PBE, Alexandria).

Calculated values
Uncorrected formation energy = -1703 meV/atom
E_tot = -0.5318 Ry/atom
Space group = I-4
M_tot = 2.396 μB per formula unit

a = 5.149 Å, b = 5.149 Å, c = 6.722 Å
α = 112.52°, β = 112.52°, γ = 90.00°
Fractional positions:
O  0.669  0.251  0.829
O  0.079  0.007  0.661
O  0.749  0.840  0.171
O  0.993  0.418  0.339
O  0.582  0.654  0.661
O  0.422  0.331  0.171
O  0.346  0.921  0.339
O  0.160  0.578  0.829
Tc  0.250  0.750  0.500
Tc  0.500  0.500  0.000
Zn  0.750  0.250  0.500
Sm  0.000  0.000  0.000

=====

Entry 3:
# Sm3TeO7

An optimized crystal structure of Sm3TeO7 (PBE, Alexandria).

Calculated values
Uncorrected formation energy = -2699 meV/atom
E_tot = -0.5459 Ry/atom
Space group = C222_1
M_tot = 0.000 μB per formula unit

a = 6.660 Å, b = 6.660 Å, c = 7.776 Å
α = 90.00°, β = 90.00°, γ = 109.15°
Fractional positions:
Sm  0.530  0.000  0.254
Sm  0.000  0.530  0.746
Sm  0.470  0.000  0.754
Sm  0.000  0.470  0.246
Sm  0.519  0.519  0.000
Sm  0.481  0.481  0.500
O  0.918  0.670  0.024
O  0.064  0.936  0.750
O  0.317  0.065  0.032
O  0.670  0.918  0.976
O  0.330  0.082  0.476
O  0.637  0.363  0.250
O  0.935  0.683  0.468
O  0.683  0.935  0.532
O  0.082  0.330  0.524
O  0.363  0.637  0.750
O  0.065  0.317  0.968
O  0.936  0.064  0.250
O  0.370  0.630  0.250
O  0.630  0.370  0.750
Te  0.001  0.001  0.000
Te  0.999  0.999  0.500

=====

Entry 4:
# Sm4Te3O

An optimized crystal structure of Sm4Te3O (PBE, Alexandria).

Calculated values
Uncorrected formation energy = -1520 meV/atom
E_tot = -0.4173 Ry/atom
Space group = Pmn2_1
M_tot = 0.000 μB per formula unit

a = 6.236 Å, b = 8.143 Å, c = 10.033 Å
α = 90.00°, β = 90.00°, γ = 90.00°
Fractional positions:
Sm  0.092  0.874  0.500
Sm  0.085  0.862  0.000
Sm  0.071  0.246  0.799
Sm  0.592  0.126  0.000
Sm  0.571  0.754  0.299
Sm  0.571  0.754  0.701
Sm  0.585  0.138  0.500
Sm  0.071  0.246  0.201
Te  0.593  0.750  0.000
Te  0.093  0.250  0.500
Te  0.575  0.359  0.760
Te  0.075  0.641  0.260
Te  0.575  0.359  0.240
Te  0.075  0.641  0.740
O  0.954  0.136  0.000
O  0.454  0.864  0.500

=====

Entry 5:
# Sm4Te5O

An optimized crystal structure of Sm4Te5O (PBE, Alexandria).

Calculated values
Uncorrected formation energy = -1476 meV/atom
E_tot = -0.3991 Ry/atom
Space group = C2/m
M_tot = 0.000 μB per formula unit

a = 4.552 Å, b = 11.374 Å, c = 8.765 Å
α = 106.66°, β = 105.05°, γ = 90.00°
Fractional positions:
Sm  0.003  0.314  0.006
Sm  0.997  0.686  0.994
Sm  0.371  0.938  0.741
Sm  0.629  0.062  0.259
Te  0.158  0.878  0.315
Te  0.836  0.732  0.672
Te  0.842  0.122  0.685
Te  0.164  0.268  0.328
Te  0.500  0.500  0.000
O  0.500  0.000  0.000

=====

Entry 6:
# Sm2TeO

An optimized crystal structure of Sm2TeO (PBE, Alexandria).

Calculated values
Uncorrected formation energy = -1954 meV/atom
E_tot = -0.4659 Ry/atom
Space group = P2_1/c
M_tot = 0.000 μB per formula unit
Offset from the most stable computed form = 0.00 eV per formula unit

a = 6.956 Å, b = 6.665 Å, c = 8.200 Å
α = 90.00°, β = 87.54°, γ = 90.00°
Fractional positions:
Sm  0.650  0.826  0.560
Sm  0.550  0.647  0.191
Sm  0.450  0.353  0.809
Sm  0.350  0.174  0.440
Sm  0.150  0.674  0.560
Sm  0.050  0.853  0.191
Sm  0.950  0.147  0.809
Sm  0.850  0.326  0.440
O  0.656  0.166  0.636
O  0.156  0.334  0.636
O  0.344  0.834  0.364
O  0.844  0.666  0.364
Te  0.823  0.631  0.862
Te  0.177  0.369  0.138
Te  0.677  0.131  0.138
Te  0.323  0.869  0.862

=====

Question: Look up the M_tot of the fifth one.
Answer: 0.000 μB per formula unit